Ca2HfFeO6 after structural relaxation, computed with PBE+U.

abc: 5.467 5.571 9.426
angles: 90.00 124.99 90.00
Space group P2_1/c (No. 14)
Unique sites:
Ca1 0.236 0.045 0.248 (multiplicity 4)
Hf1 0.500 0.000 0.000 (multiplicity 2)
Fe1 0.000 0.000 0.500 (multiplicity 2)
O1 0.155 0.216 0.955 (multiplicity 4)
O2 0.239 0.702 0.956 (multiplicity 4)
O3 0.324 0.022 0.739 (multiplicity 4)

Results
**Calculated total energy**: -0.2753 hartree per atom
**Total magnetic moment**: 2.0 μB/f.u.